DFT (GGA-PBE) results for crystalline RbInP at its relaxed geometry.

abc: 5.9636 8.1963 7.9146
angles: 94.58 90.00 90.00
Fractional positions:
1 In 0.2124 0.0363 0.4256
2 In 0.2876 0.0363 0.9256
3 Rb 0.5414 0.3561 0.2717
4 In 0.7124 0.9637 0.0744
5 P 0.5368 0.8079 0.3370
6 P 0.0368 0.1921 0.1630
7 P 0.9632 0.8079 0.8370
8 P 0.4632 0.1921 0.6630
9 In 0.7876 0.9637 0.5744
10 Rb 0.4586 0.6439 0.7283
11 Rb 0.9586 0.3561 0.7717
12 Rb 0.0414 0.6439 0.2283

Results
* formation energy: -0.26 eV/atom
* calculated total energy: -3.3036 eV per atom
* total magnetic moment: 0.0000 μB per atom
* density: 3.98 Mg/m³


DFT (GGA-PBE) results for crystalline KLiCa2Rh at its relaxed geometry.

abc: 5.5270 5.5270 5.4091
angles: 90.00 90.00 90.00
Fractional positions:
1 Ca 0.5000 0.0000 0.0000
2 Rh 0.0000 0.0000 0.0000
3 Li 0.0000 0.0000 0.5000
4 K 0.5000 0.5000 0.5000
5 Ca 0.0000 0.5000 0.0000

Results
* formation energy: -0.05 eV/atom
* calculated total energy: -2.9191 eV per atom
* total magnetic moment: 0.0000 μB per atom
* density: 2.30 Mg/m³
* DOS at the Fermi energy: 2.04 states/eV/cell


DFT (GGA-PBE) results for crystalline HfTi3Co at its relaxed geometry.

abc: 4.7393 4.7393 4.7393
angles: 90.00 90.00 90.00
Fractional positions:
1 Ti 0.0000 0.0000 0.5000
2 Co 0.5000 0.5000 0.5000
3 Hf 0.0000 0.0000 0.0000
4 Ti 0.0000 0.5000 0.0000
5 Ti 0.5000 0.0000 0.0000

Results
* formation energy: 1.61 eV/atom
* calculated total energy: -6.5422 eV per atom
* total magnetic moment: 0.0000 μB per atom
* density: 5.94 Mg/m³
* DOS at the Fermi energy: 13.29 states/eV/cell


DFT (GGA-PBE) results for crystalline MoPPtCl2 at its relaxed geometry.

abc: 4.9512 4.9512 4.6445
angles: 90.00 90.00 90.00
Last column: magnetic moment on the atom in μB.
Fractional positions:
1 Mo 0.5000 0.5000 0.5000  3.74
2 Pt 0.0000 0.0000 0.0000  -0.06
3 Cl 0.0000 0.5000 0.0000  0.00
4 P 0.0000 0.0000 0.5000  -0.26
5 Cl 0.5000 0.0000 0.0000  0.00

Results
* calculated total energy: -4.3555 eV per atom
* total magnetic moment: 0.7694 μB per atom
* density: 5.73 Mg/m³
* DOS at the Fermi energy: 3.06 states/eV/cell


DFT (GGA-PBE) results for crystalline Al5Mo at its relaxed geometry.

abc: 5.3284 5.3284 6.5763
angles: 75.42 75.42 31.72
Fractional positions:
1 Al 0.6699 0.6699 0.6707
2 Al 0.6162 0.6162 0.2696
3 Al 0.9414 0.9414 0.6150
4 Al 0.9960 0.9960 0.9971
5 Al 0.3343 0.3343 0.3325
6 Mo 0.2756 0.2756 0.9485

Results
* formation energy: -0.10 eV/atom
* calculated total energy: -5.0272 eV per atom
* total magnetic moment: 0.0002 μB per atom
* density: 4.05 Mg/m³
* DOS at the Fermi energy: 3.24 states/eV/cell


DFT (GGA-PBE) results for crystalline Li4TbMg at its relaxed geometry.

abc: 5.6583 5.6583 5.6583
angles: 60.00 60.00 60.00
Fractional positions:
1 Li 0.6264 0.6264 0.1208
2 Li 0.6264 0.1208 0.6264
3 Li 0.6264 0.6264 0.6264
4 Li 0.1208 0.6264 0.6264
5 Tb 0.2500 0.2500 0.2500
6 Mg 0.0000 0.0000 0.0000

Results
* formation energy: 0.02 eV/atom
* calculated total energy: -2.2890 eV per atom
* total magnetic moment: 0.0000 μB per atom
* density: 2.74 Mg/m³
* DOS at the Fermi energy: 8.32 states/eV/cell


DFT (GGA-PBE) results for crystalline TaBe2CrRh at its relaxed geometry.

abc: 4.4040 4.6040 4.4040
angles: 90.00 90.00 90.00
Last column: magnetic moment on the atom in μB.
Fractional positions:
1 Be 0.5000 0.0000 0.0000  -0.01
2 Rh 0.0000 0.5000 0.0000  0.11
3 Cr 0.5000 0.5000 0.5000  0.14
4 Be 0.0000 0.0000 0.5000  0.01
5 Ta 0.0000 0.0000 0.0000  -0.05

Results
* formation energy: 1.80 eV/atom
* calculated total energy: -5.4523 eV per atom
* total magnetic moment: 0.0379 μB per atom
* density: 6.58 Mg/m³
* DOS at the Fermi energy: 7.16 states/eV/cell


DFT (GGA-PBE) results for crystalline YNiTe2 at its relaxed geometry.

abc: 8.1421 8.1421 8.1421
angles: 153.18 152.72 38.63
Fractional positions:
1 Y 0.4335 0.4335 0.0000
2 Te 0.7727 0.2727 0.5000
3 Ni 0.2663 0.7663 0.5000
4 Te 0.0275 0.0275 0.0000

Results
* calculated total energy: -5.2773 eV per atom
* total magnetic moment: 0.0000 μB per atom
* density: 6.00 Mg/m³
* DOS at the Fermi energy: 3.10 states/eV/cell